Entry 1:
An optimized crystal structure of HoMn2Pd9, computed with GGA-PBE.

For the energy of formation, the calculation gives -0.4287 eV per atom. The volume is 15.86 Å³/atom. For the raw total energy, the calculation gives -74.80 eV/cell. The density of states at the Fermi level is 12.812 states/eV/cell. The calculation puts the total moment at 8.5 Bohr magnetons per cell.

The space group is P4/mmm (No. 123) and the conventional cell measures 4.005, 4.005 and 11.869 Å, with angles of 90.00, 90.00 and 90.00 degrees. The inequivalent atoms are Ho at (0.000, 0.000, 0.000), Mn at (0.000, 0.000, 0.341), Pd at (0.000, 0.500, 0.178), Pd at (0.000, 0.500, 0.500), Pd at (0.500, 0.500, 0.000) and Pd at (0.500, 0.500, 0.339).

---

Entry 2:
An optimized crystal structure of PaTcAs, computed with GGA-PBE.

For the energy of formation, the calculation gives -0.4000 eV per atom. The volume is 21.01 Å³/atom. For the raw total energy, the calculation gives -102.85 eV/cell. The density of states at the Fermi level is 12.679 states/eV/cell. The calculation puts the total moment at 0.0 Bohr magnetons per cell. The calculation puts the distance to the lowest polymorph of the same formula at 0.179 eV per atom.

The space group is Pnma (No. 62) and the conventional cell measures 10.437, 3.662 and 6.596 Å, with angles of 90.00, 90.00 and 90.00 degrees. The inequivalent atoms are Pa at (0.060, 0.250, 0.234), Tc at (0.140, 0.250, 0.784) and As at (0.180, 0.750, 0.533).

---

Entry 3:
An optimized crystal structure of HoTmLu2, computed with GGA-PBE.

For the energy of formation, the calculation gives 0.1306 eV per atom. The volume is 30.24 Å³/atom. For the raw total energy, the calculation gives -70.28 eV/cell. The density of states at the Fermi level is 36.973 states/eV/cell. The calculation puts the total moment at 0.0 Bohr magnetons per cell. The calculation puts the distance to the lowest polymorph of the same formula at 0.100 eV per atom.

The space group is Fm-3m (No. 225) and the conventional cell measures 7.850, 7.850 and 7.850 Å, with angles of 90.00, 90.00 and 90.00 degrees. The inequivalent atoms are Ho at (0.000, 0.000, 0.000), Tm at (0.000, 0.000, 0.500) and Lu at (0.250, 0.250, 0.250).

---

Entry 4:
An optimized crystal structure of YScCoRh, computed with GGA-PBE.

For the energy of formation, the calculation gives -0.5302 eV per atom. The volume is 17.90 Å³/atom. For the raw total energy, the calculation gives -117.50 eV/cell. The density of states at the Fermi level is 10.473 states/eV/cell. The calculation puts the total moment at 1.5 Bohr magnetons per cell.

The space group is F-43m (No. 216) and the conventional cell measures 6.591, 6.591 and 6.591 Å, with angles of 90.00, 90.00 and 90.00 degrees. The inequivalent atoms are Y at (0.000, 0.000, 0.000), Sc at (0.000, 0.000, 0.500), Co at (0.250, 0.250, 0.250) and Rh at (0.250, 0.250, 0.750).

---

Entry 5:
An optimized crystal structure of Sm7SBr12, computed with GGA-PBE.

The volume is 32.00 Å³/atom. As for the formation energy from raw total energies: -34.96 eV per formula unit. For the raw total energy, the calculation gives -276.59 eV/cell. The density of states at the Fermi level is 9.560 states/eV/cell. The calculation puts the total moment at 0.0 Bohr magnetons per cell.

The space group is R-3 (No. 148, hexagonal axes) and the conventional cell measures 14.9330, 14.9330 and 9.9418 Å, with angles of 90.00, 90.00 and 120.00 degrees. The inequivalent atoms are Sm at (0.0000, 0.0000, 0.0000), Sm at (0.0444, 0.8822, 0.3453), S at (0.0000, 0.0000, 0.5000), Br at (0.0243, 0.4378, 0.1627) and Br at (0.0507, 0.8661, 0.8402).

---

Entry 6:
An optimized crystal structure of NaSr4N, computed with GGA-PBE.

The volume is 41.55 Å³/atom. As for the formation energy from raw total energies: -1.27 eV per formula unit. For the raw total energy, the calculation gives -70.55 eV/cell. The density of states at the Fermi level is 18.063 states/eV/cell. The calculation puts the total moment at 0.0 Bohr magnetons per cell. The calculation puts the distance to the lowest polymorph of the same formula at 0.014 eV per atom.

The space group is C2/m (No. 12) and the conventional cell measures 19.730, 7.751 and 6.797 Å, with angles of 90.00, 106.39 and 90.00 degrees. The inequivalent atoms are Na at (0.188, 0.000, 0.224), Sr at (0.000, 0.285, 0.000), Sr at (0.110, 0.270, 0.663), Sr at (0.189, 0.500, 0.175) and N at (0.082, 0.500, 0.885).

---

Entry 7:
An optimized crystal structure of NaTmBi2Se4, computed with GGA-PBE.

The volume is 29.28 Å³/atom. As for the formation energy from raw total energies: -6.74 eV per formula unit. For the raw total energy, the calculation gives -34.23 eV/cell. The density of states at the Fermi level is 0.264 states/eV/cell. The calculation puts the total moment at 0.0 Bohr magnetons per cell.

The space group is P2/m (No. 10) and the conventional cell measures 7.541, 4.069 and 8.014 Å, with angles of 90.00, 107.74 and 90.00 degrees. The inequivalent atoms are Na at (0.000, 0.000, 0.000), Tm at (0.500, 0.500, 0.500), Bi at (0.000, 0.000, 0.500), Bi at (0.500, 0.500, 0.000), Se at (0.124, 0.500, 0.293) and Se at (0.400, 0.000, 0.712).

---

Entry 8:
An optimized crystal structure of BaInHgAu, computed with GGA-PBE.

For the energy of formation, the calculation gives -0.4680 eV per atom. The volume is 29.86 Å³/atom. For the raw total energy, the calculation gives -20.22 eV/cell. The density of states at the Fermi level is 3.745 states/eV/cell. The calculation puts the total moment at 0.0 Bohr magnetons per cell. The calculation puts the distance to the lowest polymorph of the same formula at 0.000 eV per atom.

The space group is Cm (No. 8) and the conventional cell measures 8.764, 5.059 and 6.124 Å, with angles of 90.00, 118.39 and 90.00 degrees. The inequivalent atoms are Ba at (0.000, 0.000, 0.000), In at (0.034, 0.500, 0.601), Hg at (0.279, 0.500, 0.339) and Au at (0.208, 0.000, 0.624).